1.
Below is a geometry-optimized LiBiP2O7 structure, with properties calculated at the GGA-PBEsol level.

Cell lengths 6.282, 6.784, 6.796 Å; angles 94.67, 91.27, 114.54 degrees
Sites, in units of the cell vectors:
Li: 0.242 0.406 0.198
Li: 0.758 0.594 0.802
Bi: 0.298 0.754 0.635
Bi: 0.702 0.246 0.365
P: 0.179 0.843 0.133
P: 0.235 0.262 0.636
P: 0.765 0.738 0.364
P: 0.821 0.157 0.867
O: 0.048 0.126 0.782
O: 0.098 0.749 0.917
O: 0.117 0.320 0.464
O: 0.216 0.683 0.258
O: 0.346 0.106 0.565
O: 0.375 0.072 0.150
O: 0.411 0.475 0.748
O: 0.589 0.525 0.252
O: 0.625 0.928 0.850
O: 0.654 0.894 0.435
O: 0.784 0.317 0.742
O: 0.883 0.680 0.536
O: 0.902 0.251 0.083
O: 0.952 0.874 0.218

Values from the calculation:
Raw total energy, eV per atom: -7.070
SG: No. 2
E above lowest polymorph, meV per atom: 0.0
Uncorrected formation energy, eV/f.u.: -23.2

---

2.
Below is a geometry-optimized BeAlCd structure, with properties calculated at the GGA-PBEsol level.

Cell lengths 2.819, 2.819, 11.716 Å; angles 90.00, 90.00, 90.00 degrees
Sites, in units of the cell vectors:
Be: 0.000 0.000 0.000
Be: 0.500 0.500 0.500
Al: 0.000 0.000 0.368
Al: 0.500 0.500 0.868
Cd: 0.000 0.000 0.661
Cd: 0.500 0.500 0.161

Values from the calculation:
Energy of formation, meV per atom: 289.9
Raw total energy, eV per atom: -2.806
SG: No. 107

---

3.
Below is a geometry-optimized Ca2InPt2 structure, with properties calculated at the GGA-PBEsol level.

Cell lengths 5.729, 5.729, 8.101 Å; angles 102.87, 102.87, 58.84 degrees
Sites, in units of the cell vectors:
Ca: 0.000 0.298 0.149
Ca: 0.000 0.702 0.851
Ca: 0.298 0.000 0.649
Ca: 0.702 0.000 0.351
In: 0.344 0.656 0.250
In: 0.656 0.344 0.750
Pt: 0.225 0.503 0.497
Pt: 0.497 0.775 0.003
Pt: 0.503 0.225 0.997
Pt: 0.775 0.497 0.503

Values from the calculation:
Energy of formation, meV per atom: -861.9
Raw total energy, eV per atom: -5.097
SG: No. 15

---

4.
Below is a geometry-optimized KHgH2Cl3O structure, with properties calculated at the GGA-PBEsol level.

Cell lengths 8.372, 4.270, 17.773 Å; angles 90.00, 90.00, 90.00 degrees
Sites, in units of the cell vectors:
K: 0.065 0.250 0.185
K: 0.435 0.750 0.685
K: 0.565 0.250 0.315
K: 0.935 0.750 0.815
Hg: 0.043 0.750 0.400
Hg: 0.457 0.250 0.900
Hg: 0.543 0.750 0.100
Hg: 0.957 0.250 0.600
H: 0.076 0.250 0.948
H: 0.111 0.750 0.047
H: 0.389 0.250 0.547
H: 0.424 0.750 0.448
H: 0.576 0.250 0.552
H: 0.611 0.750 0.453
H: 0.889 0.250 0.953
H: 0.924 0.750 0.052
Cl: 0.145 0.250 0.703
Cl: 0.184 0.750 0.521
Cl: 0.206 0.250 0.351
Cl: 0.294 0.750 0.851
Cl: 0.316 0.250 0.021
Cl: 0.355 0.750 0.203
Cl: 0.645 0.250 0.797
Cl: 0.684 0.750 0.979
Cl: 0.706 0.250 0.149
Cl: 0.794 0.750 0.649
Cl: 0.816 0.250 0.479
Cl: 0.855 0.750 0.297
O: 0.022 0.750 0.082
O: 0.478 0.250 0.582
O: 0.522 0.750 0.418
O: 0.978 0.250 0.918

Values from the calculation:
Raw total energy, eV per atom: -3.542
SG: No. 62

---

5.
Below is a geometry-optimized ReTcBr2 structure, with properties calculated at the GGA-PBEsol level.

Cell lengths 6.488, 6.488, 6.488 Å; angles 90.00, 90.00, 90.00 degrees
Sites, in units of the cell vectors:
Re: 0.000 0.000 0.000
Re: 0.000 0.500 0.500
Re: 0.500 0.000 0.500
Re: 0.500 0.500 0.000
Tc: 0.250 0.250 0.750
Tc: 0.250 0.750 0.250
Tc: 0.750 0.250 0.250
Tc: 0.750 0.750 0.750
Br: 0.000 0.000 0.500
Br: 0.000 0.500 0.000
Br: 0.250 0.250 0.250
Br: 0.250 0.750 0.750
Br: 0.500 0.000 0.000
Br: 0.500 0.500 0.500
Br: 0.750 0.250 0.750
Br: 0.750 0.750 0.250

Values from the calculation:
Raw total energy, eV per atom: -5.678
SG: No. 216
E above lowest polymorph, meV per atom: 675.4
Uncorrected formation energy, eV/f.u.: 5.6

---

6.
Below is a geometry-optimized OsW2Au structure, with properties calculated at the GGA-PBEsol level.

Cell lengths 2.903, 4.514, 9.897 Å; angles 90.00, 90.00, 90.00 degrees
Sites, in units of the cell vectors:
Os: 0.000 0.000 0.000
Os: 0.500 0.500 0.500
W: 0.000 0.000 0.443
W: 0.000 0.500 0.708
W: 0.500 0.000 0.208
W: 0.500 0.500 0.943
Au: 0.000 0.500 0.249
Au: 0.500 0.000 0.749

Values from the calculation:
Energy of formation, meV per atom: 503.2
Raw total energy, eV per atom: -10.435
SG: No. 44
E above lowest polymorph, meV per atom: 314.5

---

7.
Below is a geometry-optimized CrRhCl2 structure, with properties calculated at the GGA-PBEsol level.

Cell lengths 3.424, 3.507, 6.277 Å; angles 90.00, 90.16, 90.00 degrees
Sites, in units of the cell vectors:
Cr: 0.000 0.000 0.000
Rh: 0.498 0.500 0.130
Cl: 0.233 0.500 0.783
Cl: 0.744 0.000 0.355

Values from the calculation:
Raw total energy, eV per atom: -5.763
SG: No. 6
E above lowest polymorph, meV per atom: 0.0
Uncorrected formation energy, eV/f.u.: -0.7

---

8.
Below is a geometry-optimized Ni2Pt3 structure, with properties calculated at the GGA-PBEsol level.

Cell lengths 6.889, 5.063, 7.908 Å; angles 59.44, 39.26, 81.30 degrees
Sites, in units of the cell vectors:
Ni: 0.298 0.702 0.301
Ni: 0.551 0.949 0.548
Ni: 0.702 0.298 0.699
Ni: 0.949 0.551 0.952
Pt: 0.106 0.891 0.104
Pt: 0.146 0.351 0.144
Pt: 0.351 0.146 0.359
Pt: 0.498 0.498 0.502
Pt: 0.748 0.748 0.752
Pt: 0.891 0.106 0.899

Values from the calculation:
Energy of formation, meV per atom: 32.7
Raw total energy, eV per atom: -6.608
SG: No. 43
E above lowest polymorph, meV per atom: 78.2

---

9.
Below is a geometry-optimized Zr2TeN2 structure, with properties calculated at the GGA-PBEsol level.

Cell lengths 3.773, 3.773, 11.910 Å; angles 90.00, 90.00, 90.00 degrees
Sites, in units of the cell vectors:
Zr: 0.000 0.000 0.169
Zr: 0.000 0.000 0.831
Zr: 0.500 0.500 0.331
Zr: 0.500 0.500 0.669
Te: 0.000 0.000 0.500
Te: 0.500 0.500 0.000
N: 0.000 0.500 0.250
N: 0.000 0.500 0.750
N: 0.500 0.000 0.250
N: 0.500 0.000 0.750

Values from the calculation:
Raw total energy, eV per atom: -9.232
SG: No. 139
Uncorrected formation energy, eV/f.u.: -7.4

---

10.
Below is a geometry-optimized YPI2O structure, with properties calculated at the GGA-PBEsol level.

Cell lengths 5.684, 5.684, 3.556 Å; angles 90.00, 90.00, 90.00 degrees
Sites, in units of the cell vectors:
Y: 0.000 0.000 0.000
P: 0.500 0.500 0.500
I: 0.000 0.500 0.500
I: 0.500 0.000 0.500
O: 0.500 0.500 0.000

Values from the calculation:
Raw total energy, eV per atom: -4.783
SG: No. 123
E above lowest polymorph, meV per atom: 72.2
Uncorrected formation energy, eV/f.u.: -2.5

---

11.
Below is a geometry-optimized LiAl2Ag structure, with properties calculated at the GGA-PBEsol level.

Cell lengths 2.827, 2.827, 8.197 Å; angles 90.00, 90.00, 90.00 degrees
Sites, in units of the cell vectors:
Li: 0.000 0.000 0.000
Al: 0.500 0.500 0.257
Al: 0.500 0.500 0.743
Ag: 0.000 0.000 0.500

Values from the calculation:
Energy of formation, meV per atom: -99.8
Raw total energy, eV per atom: -3.465
SG: No. 123
E above lowest polymorph, meV per atom: 45.6

---

12.
Below is a geometry-optimized TlRe2Cl structure, with properties calculated at the GGA-PBEsol level.

Cell lengths 3.636, 3.636, 12.707 Å; angles 90.00, 90.00, 90.00 degrees
Sites, in units of the cell vectors:
Tl: 0.000 0.000 0.000
Tl: 0.500 0.500 0.500
Re: 0.000 0.500 0.250
Re: 0.000 0.500 0.750
Re: 0.500 0.000 0.250
Re: 0.500 0.000 0.750
Cl: 0.000 0.000 0.500
Cl: 0.500 0.500 0.000

Values from the calculation:
Raw total energy, eV per atom: -6.323
SG: No. 139
E above lowest polymorph, meV per atom: 397.4
Uncorrected formation energy, eV/f.u.: 6.0

---

13.
Below is a geometry-optimized SbCSe2 structure, with properties calculated at the GGA-PBEsol level.

Cell lengths 6.619, 6.619, 6.619 Å; angles 90.00, 90.00, 90.00 degrees
Sites, in units of the cell vectors:
Sb: 0.000 0.000 0.000
Sb: 0.000 0.500 0.500
Sb: 0.500 0.000 0.500
Sb: 0.500 0.500 0.000
C: 0.000 0.000 0.500
C: 0.000 0.500 0.000
C: 0.500 0.000 0.000
C: 0.500 0.500 0.500
Se: 0.250 0.250 0.250
Se: 0.250 0.250 0.750
Se: 0.250 0.750 0.250
Se: 0.250 0.750 0.750
Se: 0.750 0.250 0.250
Se: 0.750 0.250 0.750
Se: 0.750 0.750 0.250
Se: 0.750 0.750 0.750

Values from the calculation:
Raw total energy, eV per atom: -4.008
SG: No. 225
E above lowest polymorph, meV per atom: 579.7
Uncorrected formation energy, eV/f.u.: 5.9

---

14.
Below is a geometry-optimized KCuCl2 structure, with properties calculated at the GGA-PBEsol level.

Cell lengths 3.379, 4.868, 4.898 Å; angles 90.00, 90.00, 90.00 degrees
Sites, in units of the cell vectors:
K: 0.000 0.000 0.000
Cu: 0.000 0.500 0.500
Cl: 0.500 0.000 0.500
Cl: 0.500 0.500 0.000

Values from the calculation:
Raw total energy, eV per atom: -3.099
SG: No. 47
E above lowest polymorph, meV per atom: 391.6
Uncorrected formation energy, eV/f.u.: -2.9

---

15.
Below is a geometry-optimized Na6V2AsC4O16 structure, with properties calculated at the GGA-PBEsol level.

Cell lengths 9.860, 9.860, 9.860 Å; angles 60.00, 60.00, 60.00 degrees
Sites, in units of the cell vectors:
Na: 0.084 0.084 0.666
Na: 0.084 0.666 0.084
Na: 0.084 0.666 0.666
Na: 0.334 0.334 0.916
Na: 0.334 0.916 0.334
Na: 0.334 0.916 0.916
Na: 0.666 0.084 0.084
Na: 0.666 0.084 0.666
Na: 0.666 0.666 0.084
Na: 0.916 0.334 0.334
Na: 0.916 0.334 0.916
Na: 0.916 0.916 0.334
V: 0.000 0.500 0.500
V: 0.500 0.000 0.500
V: 0.500 0.500 0.000
V: 0.500 0.500 0.500
As: 0.125 0.125 0.125
As: 0.875 0.875 0.875
C: 0.286 0.286 0.286
C: 0.286 0.286 0.642
C: 0.286 0.642 0.286
C: 0.358 0.714 0.714
C: 0.642 0.286 0.286
C: 0.714 0.358 0.714
C: 0.714 0.714 0.358
C: 0.714 0.714 0.714
O: 0.054 0.054 0.054
O: 0.054 0.054 0.338
O: 0.054 0.338 0.054
O: 0.143 0.311 0.643
O: 0.143 0.402 0.311
O: 0.143 0.643 0.402
O: 0.311 0.143 0.402
O: 0.311 0.402 0.643
O: 0.311 0.643 0.143
O: 0.338 0.054 0.054
O: 0.357 0.598 0.857
O: 0.357 0.689 0.598
O: 0.357 0.857 0.689
O: 0.402 0.143 0.643
O: 0.402 0.311 0.143
O: 0.402 0.643 0.311
O: 0.598 0.357 0.689
O: 0.598 0.689 0.857
O: 0.598 0.857 0.357
O: 0.643 0.143 0.311
O: 0.643 0.311 0.402
O: 0.643 0.402 0.143
O: 0.662 0.946 0.946
O: 0.689 0.357 0.857
O: 0.689 0.598 0.357
O: 0.689 0.857 0.598
O: 0.857 0.357 0.598
O: 0.857 0.598 0.689
O: 0.857 0.689 0.357
O: 0.946 0.662 0.946
O: 0.946 0.946 0.662
O: 0.946 0.946 0.946

Values from the calculation:
Raw total energy, eV per atom: -7.018
SG: No. 203
Uncorrected formation energy, eV/f.u.: -48.2

---

16.
Below is a geometry-optimized Li2MgIn structure, with properties calculated at the GGA-PBEsol level.

Cell lengths 3.411, 3.411, 6.681 Å; angles 90.00, 90.00, 90.00 degrees
Sites, in units of the cell vectors:
Li: 0.000 0.000 0.000
Li: 0.500 0.500 0.230
Mg: 0.000 0.000 0.487
In: 0.500 0.500 0.770

Values from the calculation:
Energy of formation, meV per atom: -185.2
Raw total energy, eV per atom: -2.344
SG: No. 99

---

17.
Below is a geometry-optimized MnCd structure, with properties calculated at the GGA-PBEsol level.

Cell lengths 6.091, 6.091, 6.091 Å; angles 90.00, 90.00, 90.00 degrees
Sites, in units of the cell vectors:
Mn: 0.000 0.000 0.000
Mn: 0.000 0.500 0.500
Mn: 0.500 0.000 0.500
Mn: 0.500 0.500 0.000
Cd: 0.250 0.250 0.250
Cd: 0.250 0.750 0.750
Cd: 0.750 0.250 0.750
Cd: 0.750 0.750 0.250

Values from the calculation:
Energy of formation, meV per atom: 1459.1
Raw total energy, eV per atom: -4.020
SG: No. 216

---

18.
Below is a geometry-optimized Li2CuPO4 structure, with properties calculated at the GGA-PBEsol level.

Cell lengths 5.230, 5.230, 6.147 Å; angles 90.02, 90.02, 93.11 degrees
Sites, in units of the cell vectors:
Li: 0.179 0.821 0.000
Li: 0.314 0.314 0.747
Li: 0.686 0.686 0.253
Li: 0.821 0.179 0.000
Cu: 0.188 0.812 0.500
Cu: 0.812 0.188 0.500
P: 0.325 0.325 0.240
P: 0.675 0.675 0.760
O: 0.197 0.197 0.039
O: 0.210 0.210 0.455
O: 0.292 0.619 0.236
O: 0.381 0.708 0.764
O: 0.619 0.292 0.236
O: 0.708 0.381 0.764
O: 0.790 0.790 0.545
O: 0.803 0.803 0.961

Values from the calculation:
Raw total energy, eV per atom: -6.318
SG: No. 12
E above lowest polymorph, meV per atom: 34.2
Uncorrected formation energy, eV/f.u.: -15.5

---

19.
Below is a geometry-optimized GeP2WO structure, with properties calculated at the GGA-PBEsol level.

Cell lengths 4.699, 4.699, 3.459 Å; angles 90.00, 90.00, 90.00 degrees
Sites, in units of the cell vectors:
Ge: 0.000 0.000 0.000
P: 0.000 0.500 0.000
P: 0.500 0.000 0.000
W: 0.500 0.500 0.500
O: 0.000 0.000 0.500

Values from the calculation:
Raw total energy, eV per atom: -6.387
SG: No. 123
Uncorrected formation energy, eV/f.u.: 3.6

---

20.
Below is a geometry-optimized Sr2MoRh structure, with properties calculated at the GGA-PBEsol level.

Cell lengths 4.902, 4.902, 8.109 Å; angles 90.00, 90.00, 90.00 degrees
Sites, in units of the cell vectors:
Sr: 0.000 0.500 0.250
Sr: 0.000 0.500 0.750
Sr: 0.500 0.000 0.250
Sr: 0.500 0.000 0.750
Mo: 0.000 0.000 0.000
Mo: 0.500 0.500 0.500
Rh: 0.000 0.000 0.500
Rh: 0.500 0.500 0.000

Values from the calculation:
Energy of formation, meV per atom: 919.2
Raw total energy, eV per atom: -4.978
SG: No. 139
E above lowest polymorph, meV per atom: 547.4